(1)
The following is a PBE calculation of Th3Ga2Hg4 after structural relaxation, from Alexandria.

```
data_Th3Ga2Hg4
_space_group_name_H-M_alt 'C 1 2/m 1'
_space_group_IT_number 12
_space_group_name_Hall '-C 2y'
_cell_length_a 11.262
_cell_length_b 4.850
_cell_length_c 9.105
_cell_angle_alpha 90.00
_cell_angle_beta 115.68
_cell_angle_gamma 90.00
loop_
_atom_site_label
_atom_site_fract_x
_atom_site_fract_y
_atom_site_fract_z
Th1 0.000 0.000 0.000
Th2 0.166 0.500 0.669
Ga1 0.102 0.500 0.272
Hg1 0.083 0.000 0.413
Hg2 0.198 0.500 0.037
```

For the total moment, the calculation gives 0.0 μB/f.u. The calculated formation energy comes out at -30.7 kJ/mol of atoms.

=====

(2)
The following is a PBE calculation of TmThGaHg after structural relaxation, from Alexandria.

```
data_TmThGaHg
_space_group_name_H-M_alt 'F -4 3 m'
_space_group_IT_number 216
_space_group_name_Hall 'F -4 2 3'
_cell_length_a 7.403
_cell_length_b 7.403
_cell_length_c 7.403
_cell_angle_alpha 90.00
_cell_angle_beta 90.00
_cell_angle_gamma 90.00
loop_
_atom_site_label
_atom_site_fract_x
_atom_site_fract_y
_atom_site_fract_z
Tm1 0.000 0.000 0.000
Th1 0.000 0.000 0.500
Ga1 0.250 0.250 0.250
Hg1 0.250 0.250 0.750
```

For the total moment, the calculation gives 0.0 μB/f.u. The calculated formation energy comes out at -36.8 kJ/mol of atoms.

=====

(3)
The following is a PBE calculation of YThGaHg after structural relaxation, from Alexandria.

```
data_YThGaHg
_space_group_name_H-M_alt 'F -4 3 m'
_space_group_IT_number 216
_space_group_name_Hall 'F -4 2 3'
_cell_length_a 7.451
_cell_length_b 7.451
_cell_length_c 7.451
_cell_angle_alpha 90.00
_cell_angle_beta 90.00
_cell_angle_gamma 90.00
loop_
_atom_site_label
_atom_site_fract_x
_atom_site_fract_y
_atom_site_fract_z
Y1 0.000 0.000 0.000
Th1 0.000 0.000 0.500
Ga1 0.250 0.250 0.750
Hg1 0.250 0.250 0.250
```

For the total moment, the calculation gives 0.0 μB/f.u. The calculated formation energy comes out at -38.7 kJ/mol of atoms.

=====

(4)
The following is a PBE calculation of Th2Zn3Ga4Hg after structural relaxation, from Alexandria.

```
data_Th2Zn3Ga4Hg
_space_group_name_H-M_alt 'P -4 m 2'
_space_group_IT_number 115
_space_group_name_Hall 'P -4 -2'
_cell_length_a 4.330
_cell_length_b 4.330
_cell_length_c 10.651
_cell_angle_alpha 90.00
_cell_angle_beta 90.00
_cell_angle_gamma 90.00
loop_
_atom_site_label
_atom_site_fract_x
_atom_site_fract_y
_atom_site_fract_z
Th1 0.000 0.500 0.243
Zn1 0.000 0.500 0.873
Zn2 0.500 0.500 0.500
Ga1 0.000 0.000 0.000
Ga2 0.000 0.500 0.646
Ga3 0.500 0.500 0.000
Hg1 0.000 0.000 0.500
```

For the total moment, the calculation gives 0.0 μB/f.u. The calculated formation energy comes out at -34.5 kJ/mol of atoms.

=====

(5)
The following is a PBE calculation of ThZrGaHg after structural relaxation, from Alexandria.

```
data_ThZrGaHg
_space_group_name_H-M_alt 'F -4 3 m'
_space_group_IT_number 216
_space_group_name_Hall 'F -4 2 3'
_cell_length_a 7.269
_cell_length_b 7.269
_cell_length_c 7.269
_cell_angle_alpha 90.00
_cell_angle_beta 90.00
_cell_angle_gamma 90.00
loop_
_atom_site_label
_atom_site_fract_x
_atom_site_fract_y
_atom_site_fract_z
Th1 0.000 0.000 0.000
Zr1 0.000 0.000 0.500
Ga1 0.250 0.250 0.750
Hg1 0.250 0.250 0.250
```

For the total moment, the calculation gives 0.7 μB/f.u. The calculated formation energy comes out at -20.2 kJ/mol of atoms.

=====

(6)
The following is a PBE calculation of Ti7Ga2Hg2 after structural relaxation, from Alexandria.

```
data_Ti7Ga2Hg2
_space_group_name_H-M_alt 'I m m m'
_space_group_IT_number 71
_space_group_name_Hall '-I 2 2'
_cell_length_a 4.788
_cell_length_b 8.716
_cell_length_c 9.380
_cell_angle_alpha 90.00
_cell_angle_beta 90.00
_cell_angle_gamma 90.00
loop_
_atom_site_label
_atom_site_fract_x
_atom_site_fract_y
_atom_site_fract_z
Ti1 0.000 0.000 0.000
Ti2 0.000 0.176 0.218
Ti3 0.246 0.000 0.500
Ga1 0.000 0.500 0.267
Hg1 0.000 0.298 0.500
```

For the total moment, the calculation gives 4.5 μB/f.u. The calculated formation energy comes out at 1.8 kJ/mol of atoms.

=====

(7)
The following is a PBE calculation of Ti4GaHg after structural relaxation, from Alexandria.

```
data_Ti4GaHg
_space_group_name_H-M_alt 'R -3 m'
_space_group_IT_number 166
_space_group_name_Hall '-R 3 2"'
_cell_length_a 4.3373
_cell_length_b 4.3373
_cell_length_c 22.2219
_cell_angle_alpha 90.00
_cell_angle_beta 90.00
_cell_angle_gamma 120.00
loop_
_atom_site_label
_atom_site_fract_x
_atom_site_fract_y
_atom_site_fract_z
Ti1 0.0000 0.0000 0.1167
Ti2 0.0000 0.0000 0.3713
Ga1 0.0000 0.0000 0.0000
Hg1 0.0000 0.0000 0.5000
```

For the total moment, the calculation gives 1.2 μB/f.u. The calculated formation energy comes out at 24.7 kJ/mol of atoms.

=====

(8)
The following is a PBE calculation of TiGaHg3 after structural relaxation, from Alexandria.

```
data_TiGaHg3
_space_group_name_H-M_alt 'P m -3 m'
_space_group_IT_number 221
_space_group_name_Hall '-P 4 2 3'
_cell_length_a 5.399
_cell_length_b 5.399
_cell_length_c 5.399
_cell_angle_alpha 90.00
_cell_angle_beta 90.00
_cell_angle_gamma 90.00
loop_
_atom_site_label
_atom_site_fract_x
_atom_site_fract_y
_atom_site_fract_z
Ti1 0.000 0.000 0.000
Ga1 0.500 0.500 0.500
Hg1 0.000 0.000 0.500
```

For the total moment, the calculation gives 2.6 μB/f.u. The calculated formation energy comes out at 51.9 kJ/mol of atoms.

=====

(9)
The following is a PBE calculation of TiGaHg3 after structural relaxation, from Alexandria.

```
data_TiGaHg3
_space_group_name_H-M_alt 'P m -3 m'
_space_group_IT_number 221
_space_group_name_Hall '-P 4 2 3'
_cell_length_a 5.053
_cell_length_b 5.053
_cell_length_c 5.053
_cell_angle_alpha 90.00
_cell_angle_beta 90.00
_cell_angle_gamma 90.00
loop_
_atom_site_label
_atom_site_fract_x
_atom_site_fract_y
_atom_site_fract_z
Ti1 0.000 0.000 0.000
Ga1 0.500 0.500 0.500
Hg1 0.000 0.500 0.500
```

For the total moment, the calculation gives 0.0 μB/f.u. The calculated formation energy comes out at 69.7 kJ/mol of atoms.

=====

(10)
The following is a PBE calculation of TiGa2Hg2 after structural relaxation, from Alexandria.

```
data_TiGa2Hg2
_space_group_name_H-M_alt 'P 4/m b m'
_space_group_IT_number 127
_space_group_name_Hall '-P 4 2ab'
_cell_length_a 7.241
_cell_length_b 7.241
_cell_length_c 3.815
_cell_angle_alpha 90.00
_cell_angle_beta 90.00
_cell_angle_gamma 90.00
loop_
_atom_site_label
_atom_site_fract_x
_atom_site_fract_y
_atom_site_fract_z
Ti1 0.000 0.000 0.000
Ga1 0.133 0.367 0.000
Hg1 0.173 0.673 0.500
```

For the total moment, the calculation gives 0.0 μB/f.u. The calculated formation energy comes out at 15.1 kJ/mol of atoms.

=====

(11)
The following is a PBE calculation of Ti5Ga4Hg after structural relaxation, from Alexandria.

```
data_Ti5Ga4Hg
_space_group_name_H-M_alt 'P 4/m m m'
_space_group_IT_number 123
_space_group_name_Hall '-P 4 2'
_cell_length_a 2.844
_cell_length_b 2.844
_cell_length_c 20.171
_cell_angle_alpha 90.00
_cell_angle_beta 90.00
_cell_angle_gamma 90.00
loop_
_atom_site_label
_atom_site_fract_x
_atom_site_fract_y
_atom_site_fract_z
Ti1 0.000 0.000 0.000
Ti2 0.000 0.000 0.195
Ti3 0.000 0.000 0.386
Ga1 0.500 0.500 0.098
Ga2 0.500 0.500 0.292
Hg1 0.500 0.500 0.500
```

For the total moment, the calculation gives 0.0 μB/f.u. The calculated formation energy comes out at -36.3 kJ/mol of atoms.

=====

(12)
The following is a PBE calculation of Ti7Ga3Hg after structural relaxation, from Alexandria.

```
data_Ti7Ga3Hg
_space_group_name_H-M_alt 'C 1 2/m 1'
_space_group_IT_number 12
_space_group_name_Hall '-C 2y'
_cell_length_a 9.720
_cell_length_b 9.599
_cell_length_c 4.966
_cell_angle_alpha 90.00
_cell_angle_beta 120.46
_cell_angle_gamma 90.00
loop_
_atom_site_label
_atom_site_fract_x
_atom_site_fract_y
_atom_site_fract_z
Ti1 0.000 0.000 0.000
Ti2 0.174 0.500 0.174
Ti3 0.179 0.275 0.679
Ga1 0.000 0.269 0.000
Ga2 0.000 0.500 0.500
Hg1 0.000 0.000 0.500
```

For the total moment, the calculation gives 4.2 μB/f.u. The calculated formation energy comes out at 2.5 kJ/mol of atoms.

=====

(13)
The following is a PBE calculation of TiGa2Hg2 after structural relaxation, from Alexandria.

```
data_TiGa2Hg2
_space_group_name_H-M_alt 'I 4/m m m'
_space_group_IT_number 139
_space_group_name_Hall '-I 4 2'
_cell_length_a 4.117
_cell_length_b 4.117
_cell_length_c 12.078
_cell_angle_alpha 90.00
_cell_angle_beta 90.00
_cell_angle_gamma 90.00
loop_
_atom_site_label
_atom_site_fract_x
_atom_site_fract_y
_atom_site_fract_z
Ti1 0.000 0.000 0.000
Ga1 0.000 0.000 0.403
Hg1 0.000 0.500 0.250
```

For the total moment, the calculation gives 0.0 μB/f.u. The calculated formation energy comes out at 29.8 kJ/mol of atoms.

=====

(14)
The following is a PBE calculation of TmTiGaHg after structural relaxation, from Alexandria.

```
data_TmTiGaHg
_space_group_name_H-M_alt 'F -4 3 m'
_space_group_IT_number 216
_space_group_name_Hall 'F -4 2 3'
_cell_length_a 6.921
_cell_length_b 6.921
_cell_length_c 6.921
_cell_angle_alpha 90.00
_cell_angle_beta 90.00
_cell_angle_gamma 90.00
loop_
_atom_site_label
_atom_site_fract_x
_atom_site_fract_y
_atom_site_fract_z
Tm1 0.000 0.000 0.000
Ti1 0.000 0.000 0.500
Ga1 0.250 0.250 0.750
Hg1 0.250 0.250 0.250
```

For the total moment, the calculation gives 1.6 μB/f.u. The calculated formation energy comes out at -24.6 kJ/mol of atoms.

=====

(15)
The following is a PBE calculation of TiVGaHg2 after structural relaxation, from Alexandria.

```
data_TiVGaHg2
_space_group_name_H-M_alt 'P 4/m m m'
_space_group_IT_number 123
_space_group_name_Hall '-P 4 2'
_cell_length_a 4.874
_cell_length_b 4.874
_cell_length_c 4.840
_cell_angle_alpha 90.00
_cell_angle_beta 90.00
_cell_angle_gamma 90.00
loop_
_atom_site_label
_atom_site_fract_x
_atom_site_fract_y
_atom_site_fract_z
Ti1 0.000 0.000 0.000
V1 0.500 0.500 0.000
Ga1 0.000 0.000 0.500
Hg1 0.000 0.500 0.500
```

For the total moment, the calculation gives 0.6 μB/f.u. The calculated formation energy comes out at 106.3 kJ/mol of atoms.

=====

(16)
The following is a PBE calculation of ZrTiGaHg after structural relaxation, from Alexandria.

```
data_ZrTiGaHg
_space_group_name_H-M_alt 'P 4 m m'
_space_group_IT_number 99
_space_group_name_Hall 'P 4 -2'
_cell_length_a 2.974
_cell_length_b 2.974
_cell_length_c 8.463
_cell_angle_alpha 90.00
_cell_angle_beta 90.00
_cell_angle_gamma 90.00
loop_
_atom_site_label
_atom_site_fract_x
_atom_site_fract_y
_atom_site_fract_z
Zr1 0.000 0.000 0.000
Ti1 0.000 0.000 0.453
Ga1 0.500 0.500 0.239
Hg1 0.500 0.500 0.715
```

For the total moment, the calculation gives 0.0 μB/f.u. The calculated formation energy comes out at -27.8 kJ/mol of atoms.

=====

(17)
The following is a PBE calculation of ZrTiGaHg2 after structural relaxation, from Alexandria.

```
data_ZrTiGaHg2
_space_group_name_H-M_alt 'P 4/m m m'
_space_group_IT_number 123
_space_group_name_Hall '-P 4 2'
_cell_length_a 5.354
_cell_length_b 5.354
_cell_length_c 5.091
_cell_angle_alpha 90.00
_cell_angle_beta 90.00
_cell_angle_gamma 90.00
loop_
_atom_site_label
_atom_site_fract_x
_atom_site_fract_y
_atom_site_fract_z
Zr1 0.000 0.000 0.000
Ti1 0.500 0.500 0.500
Ga1 0.000 0.000 0.500
Hg1 0.000 0.500 0.000
```

For the total moment, the calculation gives 0.0 μB/f.u. The calculated formation energy comes out at 98.8 kJ/mol of atoms.

=====

(18)
The following is a PBE calculation of ZrTiGaHg after structural relaxation, from Alexandria.

```
data_ZrTiGaHg
_space_group_name_H-M_alt 'F -4 3 m'
_space_group_IT_number 216
_space_group_name_Hall 'F -4 2 3'
_cell_length_a 6.746
_cell_length_b 6.746
_cell_length_c 6.746
_cell_angle_alpha 90.00
_cell_angle_beta 90.00
_cell_angle_gamma 90.00
loop_
_atom_site_label
_atom_site_fract_x
_atom_site_fract_y
_atom_site_fract_z
Zr1 0.000 0.000 0.000
Ti1 0.000 0.000 0.500
Ga1 0.250 0.250 0.250
Hg1 0.250 0.250 0.750
```

For the total moment, the calculation gives 0.8 μB/f.u. The calculated formation energy comes out at -16.8 kJ/mol of atoms.

=====

(19)
The following is a PBE calculation of Tl3GaHg5 after structural relaxation, from Alexandria.

```
data_Tl3GaHg5
_space_group_name_H-M_alt 'P 63/m c m'
_space_group_IT_number 193
_space_group_name_Hall '-P 6c 2'
_cell_length_a 9.7554
_cell_length_b 9.7554
_cell_length_c 6.0860
_cell_angle_alpha 90.00
_cell_angle_beta 90.00
_cell_angle_gamma 120.00
loop_
_atom_site_label
_atom_site_fract_x
_atom_site_fract_y
_atom_site_fract_z
Tl1 0.0000 0.3858 0.2500
Ga1 0.0000 0.0000 0.0000
Hg1 0.0000 0.2677 0.7500
Hg2 0.3333 0.6667 0.0000
```

For the total moment, the calculation gives 0.0 μB/f.u. The calculated formation energy comes out at 2.0 kJ/mol of atoms.

=====

(20)
The following is a PBE calculation of Tl3Ga2Hg8 after structural relaxation, from Alexandria.

```
data_Tl3Ga2Hg8
_space_group_name_H-M_alt 'P -1'
_space_group_IT_number 2
_space_group_name_Hall '-P 1'
_cell_length_a 6.505
_cell_length_b 6.918
_cell_length_c 8.967
_cell_angle_alpha 103.49
_cell_angle_beta 103.02
_cell_angle_gamma 106.98
loop_
_atom_site_label
_atom_site_fract_x
_atom_site_fract_y
_atom_site_fract_z
Tl1 0.000 0.000 0.000
Tl2 0.452 0.876 0.656
Ga1 0.011 0.484 0.147
Hg1 0.001 0.136 0.681
Hg2 0.101 0.342 0.417
Hg3 0.473 0.746 0.988
Hg4 0.494 0.602 0.297
```

For the total moment, the calculation gives 0.0 μB/f.u. The calculated formation energy comes out at 1.6 kJ/mol of atoms.